(1)
A plane-wave DFT calculation with PBE-GGA was carried out for GdZn after structural relaxation.

Results
Excess energy over the best structure of this formula in the dataset in meV/atom: 948
Calculated volume in Å³/atom: 34.02
ΔH_f (0 K) in eV per atom: 0.609
Spin magnetization in μB per formula unit: 0.037

Lattice parameters (Å, degrees): 4.582 4.582 4.582 60.00 60.00 60.00
Sites, in units of the cell vectors:
1 Gd 0.000 0.000 0.000
2 Zn 0.250 0.250 0.250

(2)
A plane-wave DFT calculation with PBE-GGA was carried out for Tb4ErSe5 after structural relaxation.

Results
Calculated volume in Å³/atom: 23.92
Raw total energy in eV per formula unit: -58.1
Spin magnetization in μB per formula unit: 0.009

Lattice parameters (Å, degrees): 14.743 14.743 14.743 164.14 164.14 22.50
Sites, in units of the cell vectors:
1 Er 0.000 0.000 0.000
2 Se 0.097 0.097 0.000
3 Se 0.298 0.298 0.000
4 Se 0.500 0.500 0.000
5 Se 0.702 0.702 0.000
6 Se 0.903 0.903 0.000
7 Tb 0.196 0.196 0.000
8 Tb 0.398 0.398 0.000
9 Tb 0.602 0.602 0.000
10 Tb 0.804 0.804 0.000

(3)
A plane-wave DFT calculation with PBE-GGA was carried out for LuOsNO after structural relaxation.

Results
Excess energy over the best structure of this formula in the dataset in meV/atom: 369
Calculated volume in Å³/atom: 13.87
Spin magnetization in μB per formula unit: 0.000

Lattice parameters (Å, degrees): 3.444 5.283 6.099 90.00 90.00 90.00
Sites, in units of the cell vectors:
1 Lu 0.500 0.038 0.191
2 Lu 0.500 0.538 0.809
3 N 0.000 0.820 0.310
4 N 0.000 0.320 0.690
5 O 0.500 0.436 0.150
6 O 0.500 0.936 0.850
7 Os 0.000 0.460 0.404
8 Os 0.000 0.960 0.596